# 1
4
Lattice="4.628 -0.007 0.144 3.174 3.369 0.144 1.579 0.680 7.044" Properties=species:S:1:pos:R:3 comment="TaTe2Os (PBE, relaxed)" e_tot_ev_per_atom=-7.197 e_form_raw_ev_per_atom=0.144 m_tot_mub_per_cell=0.00 rho_kg_m3=9536 e_above_lowest_polymorph_mev_per_atom=120 pbc="T T T"
Os 4.712 2.030 3.089
Ta 2.352 1.013 2.391
Te 7.965 3.432 1.110
Te 6.844 2.949 4.698

***

# 2
5
Lattice="4.571 0.000 0.000 0.000 6.766 0.000 0.000 0.000 4.571" Properties=species:S:1:pos:R:3 comment="CrGaAsCl2 (PBE, relaxed)" e_tot_ev_per_atom=-3.766 e_form_raw_ev_per_atom=0.432 m_tot_mub_per_cell=3.07 rho_kg_m3=3142 pbc="T T T"
Cr 0.000 3.383 0.000
As 2.286 3.383 2.286
Ga 0.000 0.000 0.000
Cl 0.000 0.000 2.286
Cl 2.286 0.000 0.000

***

# 3
4
Lattice="-0.517 1.396 -3.832 1.537 -6.193 -2.463 -5.669 3.279 1.960" Properties=species:S:1:pos:R:3 comment="USe2S (PBE, relaxed)" e_tot_ev_per_atom=-6.440 e_form_raw_ev_per_atom=-0.844 m_tot_mub_per_cell=0.13 rho_kg_m3=5360 pbc="T T T"
U -3.093 2.337 -0.936
Se -1.843 0.335 0.371
Se -2.289 -3.249 -0.875
S 0.510 -2.398 -3.148

***

# 4
4
Lattice="-3.649 4.102 1.307 -3.596 -0.685 4.295 0.678 2.973 4.749" Properties=species:S:1:pos:R:3 comment="CaAcMgSn (PBE, relaxed)" formation_energy_ev_per_atom=-0.3831 e_tot_ev_per_atom=-3.310 m_tot_mub_per_cell=0.00 rho_kg_m3=5357 pbc="T T T"
Mg -1.642 1.598 2.588
Ac -3.283 3.195 5.176
Ca 0.000 0.000 0.000
Sn -4.925 4.793 7.763

***

# 5
5
Lattice="6.062 0.000 0.000 0.000 6.062 0.000 0.000 0.000 6.062" Properties=species:S:1:pos:R:3 comment="BaMoSe3 (PBE, relaxed)" e_tot_ev_per_atom=-3.644 e_form_raw_ev_per_atom=0.998 m_tot_mub_per_cell=2.00 rho_kg_m3=3505 e_above_lowest_polymorph_mev_per_atom=1869 pbc="T T T"
Mo 3.031 3.031 3.031
Ba 0.000 0.000 0.000
Se 0.000 3.031 0.000
Se 0.000 0.000 3.031
Se 3.031 0.000 0.000

***

# 6
16
Lattice="6.474 0.000 0.000 0.000 7.327 0.000 0.000 0.000 9.693" Properties=species:S:1:pos:R:3 comment="Sm3Ir (PBE, relaxed)" formation_energy_ev_per_atom=-0.4905 e_tot_ev_per_atom=-6.245 m_tot_mub_per_cell=0.00 rho_kg_m3=9294 pbc="T T T"
Sm 0.909 0.261 2.423
Sm 4.146 3.403 7.270
Sm 2.328 3.924 2.423
Sm 5.565 7.066 7.270
Sm 4.350 1.290 0.629
Sm 1.113 2.374 9.064
Sm 5.361 4.953 4.218
Sm 2.124 6.037 5.475
Sm 2.124 6.037 9.064
Sm 5.361 4.953 0.629
Sm 1.113 2.374 5.475
Sm 4.350 1.290 4.218
Ir 6.102 2.792 2.423
Ir 2.865 0.871 7.270
Ir 3.609 6.455 2.423
Ir 0.372 4.535 7.270

***

# 7
14
Lattice="-2.954 -0.345 -7.456 -4.214 -4.782 4.881 -0.463 7.617 2.493" Properties=species:S:1:pos:R:3 comment="Pm4MgGa2 (PBE, relaxed)" formation_energy_ev_per_atom=-0.2458 e_tot_ev_per_atom=-4.053 m_tot_mub_per_cell=0.00 rho_kg_m3=6206 e_above_lowest_polymorph_mev_per_atom=84 pbc="T T T"
Pm -4.480 -1.372 4.317
Pm -5.182 0.103 0.476
Pm -5.739 2.464 -2.674
Pm -2.235 5.179 1.391
Pm -4.921 -3.700 -0.783
Pm -3.682 5.012 -2.349
Pm -1.918 1.239 -2.608
Pm -2.367 1.038 1.901
Mg 0.000 0.000 0.000
Mg -4.438 -0.745 -2.528
Ga -3.251 2.853 -4.813
Ga -3.488 2.694 -0.391
Ga -5.234 1.456 3.490
Ga -3.289 -2.021 1.549

***

# 8
5
Lattice="5.117 0.000 0.000 0.000 5.117 0.000 2.558 2.558 5.190" Properties=species:S:1:pos:R:3 comment="In2Au2Br (PBE, relaxed)" e_tot_ev_per_atom=-2.913 e_form_raw_ev_per_atom=-0.172 m_tot_mub_per_cell=0.00 rho_kg_m3=8596 e_above_lowest_polymorph_mev_per_atom=31 pbc="T T T"
Au 2.558 2.558 1.378
Au 5.117 5.117 3.812
Br 0.000 0.000 0.000
In 5.117 2.558 2.595
In 2.558 5.117 2.595

***

# 9
4
Lattice="-2.681 4.027 -1.825 -3.353 -0.671 -3.879 -5.083 0.338 0.889" Properties=species:S:1:pos:R:3 comment="AcErIrAu (PBE, relaxed)" formation_energy_ev_per_atom=-0.6417 e_tot_ev_per_atom=-5.844 m_tot_mub_per_cell=0.00 rho_kg_m3=13308 pbc="T T T"
Ac -2.779 0.924 -1.204
Ir -5.558 1.847 -2.408
Au 0.000 0.000 0.000
Er -8.338 2.771 -3.611

***

# 10
18
Lattice="9.019 -0.072 4.942 4.900 7.983 1.536 0.483 -0.237 9.477" Properties=species:S:1:pos:R:3 comment="FePd2Br6 (PBE, relaxed)" e_tot_ev_per_atom=-3.500 e_form_raw_ev_per_atom=-0.290 m_tot_mub_per_cell=8.17 rho_kg_m3=3741 pbc="T T T"
Fe 6.538 6.818 3.880
Fe 7.864 0.856 12.075
Pd 6.651 3.110 6.295
Pd 3.533 5.142 6.664
Pd 7.751 4.564 9.659
Pd 10.869 2.532 9.290
Br 8.716 3.006 7.917
Br 10.216 4.668 10.472
Br 5.686 4.667 8.037
Br 4.186 3.005 5.482
Br 1.031 0.877 6.327
Br 6.598 2.619 11.226
Br 13.371 6.796 9.627
Br 7.805 5.055 4.728
Br 7.449 1.118 5.000
Br 11.604 6.781 13.172
Br 6.953 6.555 10.955
Br 2.799 0.893 2.782

***

# 11
22
Lattice="-0.960 -2.611 -5.825 -1.335 -5.927 2.182 -6.409 0.767 0.017" Properties=species:S:1:pos:R:3 comment="Nd2Fe17H3 (PBE, relaxed)" e_tot_ev_per_atom=-7.463 m_tot_mub_per_cell=37.58 rho_kg_m3=7765 pbc="T T T"
Nd -5.704 -5.092 -2.376
Nd -3.001 -2.679 -1.250
Fe -3.205 0.383 0.009
Fe -0.480 -1.306 -2.912
Fe -0.668 -2.963 1.091
Fe -1.066 -3.550 -3.558
Fe -2.772 -4.032 1.569
Fe -4.867 -0.189 -1.637
Fe -4.973 -1.128 0.630
Fe -2.503 -1.655 -4.171
Fe -1.229 -4.988 -0.085
Fe -6.227 -2.261 -1.228
Fe -3.457 -3.978 -4.197
Fe -3.648 -5.663 -0.128
Fe -2.478 -5.510 -2.398
Fe -5.247 -3.793 0.571
Fe -5.056 -2.108 -3.498
Fe -7.857 -7.014 -3.273
Fe -0.847 -0.756 -0.353
H -1.148 -4.269 -1.822
H -3.872 -2.580 1.099
H -3.685 -0.922 -2.904

***

# 12
16
Lattice="-5.320 4.626 0.382 -4.267 -5.183 3.331 6.240 1.548 2.920" Properties=species:S:1:pos:R:3 comment="K4Sm3InO8 (PBE, relaxed)" e_tot_ev_per_atom=-6.169 e_form_raw_ev_per_atom=-2.360 m_tot_mub_per_cell=0.00 rho_kg_m3=5200 pbc="T T T"
K -2.660 2.313 0.191
K 0.460 3.087 1.651
K 0.000 0.000 0.000
K 3.120 0.774 1.460
Sm -4.794 -0.278 1.856
Sm -1.674 0.496 3.316
Sm 0.987 -1.817 3.125
In -2.134 -2.591 1.665
O 1.865 -1.039 5.201
O -1.325 -1.830 3.710
O 0.608 0.475 2.719
O -0.855 1.326 5.396
O -2.492 -0.335 1.236
O -3.956 0.516 3.913
O -2.022 2.821 2.922
O -5.212 2.031 1.431

***

# 13
4
Lattice="-4.181 -5.459 2.707 -0.588 -5.589 4.799 -3.512 -2.826 5.856" Properties=species:S:1:pos:R:3 comment="CaTeAs2 (PBE, relaxed)" e_tot_ev_per_atom=-3.959 e_form_raw_ev_per_atom=-0.349 m_tot_mub_per_cell=0.00 rho_kg_m3=5035 pbc="T T T"
As -0.042 -0.071 0.068
As -4.099 -6.867 6.613
Te -6.211 -10.406 10.021
Ca -2.070 -3.469 3.340

***

# 14
4
Lattice="-2.469 4.974 -5.450 2.877 -3.598 -0.571 -2.201 -1.239 -3.208" Properties=species:S:1:pos:R:3 comment="LaZnAs2 (PBE, relaxed)" formation_energy_ev_per_atom=-0.6387 e_tot_ev_per_atom=-4.514 m_tot_mub_per_cell=0.00 rho_kg_m3=6685 pbc="T T T"
As 0.000 0.000 0.000
As -2.335 1.868 -4.329
La 0.338 -2.418 -1.889
Zn 0.204 0.688 -3.010

***

# 15
8
Lattice="8.392 0.000 0.000 0.000 8.392 0.000 4.196 4.196 2.823" Properties=species:S:1:pos:R:3 comment="BaCaTc2 (PBE, relaxed)" formation_energy_ev_per_atom=1.4474 e_tot_ev_per_atom=-4.717 m_tot_mub_per_cell=5.14 rho_kg_m3=6239 e_above_lowest_polymorph_mev_per_atom=1183 pbc="T T T"
Ca 4.196 4.196 0.000
Ca 4.196 8.392 1.411
Ba 0.000 0.000 0.000
Ba 8.392 4.196 1.411
Tc 6.226 2.098 0.706
Tc 2.165 6.294 0.706
Tc 6.294 6.361 2.117
Tc 10.489 10.422 2.117

***

# 16
6
Lattice="4.094 0.000 -1.055 -0.271 5.501 -1.048 -0.417 -0.351 6.852" Properties=species:S:1:pos:R:3 comment="SrCdNi (PBE, relaxed)" formation_energy_ev_per_atom=-0.1854 e_tot_ev_per_atom=-2.978 m_tot_mub_per_cell=0.00 rho_kg_m3=5718 pbc="T T T"
Sr 3.079 3.557 3.477
Sr 0.327 1.594 1.271
Cd 2.145 4.166 -0.144
Cd 1.261 0.985 4.893
Ni 0.491 4.754 1.907
Ni 2.915 0.397 2.842

***

# 17
5
Lattice="-1.193 3.635 3.143 0.713 -3.571 4.400 4.766 1.311 0.292" Properties=species:S:1:pos:R:3 comment="KMnW2I (PBE, relaxed)" e_tot_ev_per_atom=-4.542 e_form_raw_ev_per_atom=3.003 m_tot_mub_per_cell=0.35 rho_kg_m3=6981 pbc="T T T"
I 0.000 0.000 0.000
K 0.356 -1.785 2.200
Mn 2.143 0.688 3.918
W 2.383 0.656 0.146
W -0.596 1.817 1.572

***

# 18
10
Lattice="-3.950 -5.607 4.886 2.966 -6.261 -4.787 3.753 -0.289 2.703" Properties=species:S:1:pos:R:3 comment="Sr2Sb2Se (PBE, relaxed)" e_tot_ev_per_atom=-3.847 e_form_raw_ev_per_atom=-0.829 m_tot_mub_per_cell=0.00 rho_kg_m3=5031 e_above_lowest_polymorph_mev_per_atom=101 pbc="T T T"
Sb 1.106 -7.669 -2.356
Sb -1.654 -8.814 1.355
Sb -2.091 -4.199 2.455
Sb 0.670 -3.054 -1.256
Se 0.000 0.000 0.000
Se -0.492 -5.934 0.050
Sr 3.179 -5.447 -1.024
Sr 1.601 -9.089 0.777
Sr -0.411 -6.710 3.826
Sr 1.167 -3.068 2.024

***

# 19
6
Lattice="0.000 4.616 4.616 4.616 0.000 4.616 4.616 4.616 0.000" Properties=species:S:1:pos:R:3 comment="Ca4BeSb (PBE, relaxed)" e_tot_ev_per_atom=-2.128 e_form_raw_ev_per_atom=0.514 m_tot_mub_per_cell=0.00 rho_kg_m3=2457 pbc="T T T"
Ca 5.764 3.468 5.764
Ca 3.468 5.764 5.764
Ca 5.764 5.764 3.468
Ca 3.468 3.468 3.468
Be 0.000 0.000 0.000
Sb 6.924 6.924 6.924

***

# 20
11
Lattice="5.622 0.000 0.000 2.811 4.869 0.000 2.811 1.623 4.906" Properties=species:S:1:pos:R:3 comment="Li2Nd2GaO6 (PBE, relaxed)" e_tot_ev_per_atom=-6.340 e_form_raw_ev_per_atom=-2.145 m_tot_mub_per_cell=1.05 rho_kg_m3=5788 pbc="T T T"
Li 5.622 3.246 3.523
Li 5.622 3.246 1.383
Nd 8.433 4.869 3.169
Nd 2.811 1.623 1.737
Ga 0.000 0.000 0.000
O 7.144 4.125 1.304
O 4.100 4.125 1.304
O 5.622 1.488 1.304
O 5.622 5.004 3.602
O 7.144 2.367 3.602
O 4.100 2.367 3.602